A relaxed Li4SnSb3Pb2 crystal, computed with PBE.

Cell: 4.410 4.410 12.746 Å, 90.00 90.00 90.00°
Fractional coordinates of all 10 atoms:
Li 0.000 0.000 0.000
Li 0.500 0.500 0.000
Li 0.000 0.500 0.351
Li 0.500 0.000 0.649
Pb 0.500 0.000 0.232
Pb 0.000 0.500 0.768
Sb 0.500 0.000 0.858
Sb 0.000 0.000 0.500
Sb 0.000 0.500 0.142
Sn 0.500 0.500 0.500

**Space group**: No. 115
**Spin magnetization**: 0.00 μB/f.u.
**V**: 24.79 Å³/atom
**E**: -3.4272 eV/atom